## RbCd4W2 (PBE)

Data for RbCd4W2 after structural relaxation.

## Properties
Fermi-level density of states: 0.612 states/eV/atom
E: -2.955 eV/atom
Theoretical density: 5.965 g/cm³

The structure in extended XYZ format:
```
7
Lattice="-2.8700 2.8700 7.6280 2.8700 -2.8700 7.6280 2.8700 2.8700 -7.6280" Properties=species:S:1:pos:R:3 pbc="T T T"
Rb 0.0000 0.0000 0.0000
Cd 2.8700 0.0000 0.0000
Cd 0.0000 0.0000 3.5278
Cd 0.0000 2.8700 0.0000
Cd 0.0000 0.0000 11.7281
W 0.0000 0.0000 6.5287
W 0.0000 0.0000 8.7272
```